Material: ZnCdHg2
Method: DFT, PBE-GGA
State: relaxed

Computed properties:
ΔE to the lowest computed polymorph   0 kJ/mol of formula units
Density of states at the Fermi level   0.29 states/eV per atom

abc: 8.929 8.929 8.929
angles: 22.37 22.37 22.37
Sites, in units of the cell vectors:
Zn (0.250, 0.250, 0.250)
Hg (0.995, 0.995, 0.995)
Hg (0.505, 0.505, 0.505)
Cd (0.750, 0.750, 0.750)

=====

Material: Zn3Cd12Hg5
Method: DFT, PBE-GGA
State: relaxed

Computed properties:
Density of states at the Fermi level   0.31 states/eV per atom

abc: 14.396 14.396 14.396
angles: 109.47 109.47 109.47
Sites, in units of the cell vectors:
Zn (0.750, 0.375, 0.125)
Zn (0.875, 0.750, 0.125)
Zn (0.375, 0.750, 0.625)
Zn (0.250, 0.125, 0.375)
Zn (0.875, 0.125, 0.250)
Zn (0.375, 0.625, 0.250)
Zn (0.625, 0.375, 0.750)
Zn (0.125, 0.875, 0.750)
Zn (0.750, 0.875, 0.625)
Zn (0.625, 0.250, 0.375)
Zn (0.125, 0.250, 0.875)
Zn (0.250, 0.625, 0.875)
Hg (0.125, 0.375, 0.250)
Hg (0.000, 0.500, 0.000)
Hg (0.000, 0.000, 0.000)
Hg (0.375, 0.250, 0.125)
Hg (0.500, 0.000, 0.500)
Hg (0.500, 0.500, 0.000)
Hg (0.125, 0.750, 0.375)
Hg (0.750, 0.125, 0.875)
Hg (0.750, 0.625, 0.375)
Hg (0.375, 0.125, 0.750)
Hg (0.625, 0.875, 0.250)
Hg (0.500, 0.500, 0.500)
Hg (0.500, 0.000, 0.000)
Hg (0.000, 0.000, 0.500)
Hg (0.250, 0.375, 0.625)
Hg (0.250, 0.875, 0.125)
Hg (0.000, 0.500, 0.500)
Hg (0.875, 0.250, 0.625)
Hg (0.625, 0.750, 0.875)
Hg (0.875, 0.625, 0.750)
Cd (0.738, 0.134, 0.074)
Cd (0.335, 0.574, 0.439)
Cd (0.926, 0.366, 0.262)
Cd (0.574, 0.238, 0.134)
Cd (0.604, 0.738, 0.665)
Cd (0.926, 0.561, 0.165)
Cd (0.335, 0.762, 0.396)
Cd (0.061, 0.896, 0.134)
Cd (0.561, 0.926, 0.665)
Cd (0.738, 0.604, 0.165)
Cd (0.762, 0.426, 0.366)
Cd (0.835, 0.939, 0.074)
Cd (0.134, 0.738, 0.574)
Cd (0.366, 0.439, 0.104)
Cd (0.104, 0.939, 0.366)
Cd (0.396, 0.134, 0.561)
Cd (0.104, 0.165, 0.238)
Cd (0.426, 0.665, 0.061)
Cd (0.835, 0.896, 0.262)
Cd (0.134, 0.396, 0.061)
Cd (0.366, 0.926, 0.762)
Cd (0.561, 0.634, 0.396)
Cd (0.939, 0.835, 0.574)
Cd (0.762, 0.335, 0.896)
Cd (0.439, 0.366, 0.604)
Cd (0.061, 0.165, 0.426)
Cd (0.238, 0.665, 0.104)
Cd (0.165, 0.104, 0.738)
Cd (0.634, 0.074, 0.238)
Cd (0.866, 0.604, 0.939)
Cd (0.574, 0.335, 0.939)
Cd (0.604, 0.866, 0.439)
Cd (0.896, 0.835, 0.762)
Cd (0.896, 0.061, 0.634)
Cd (0.866, 0.262, 0.426)
Cd (0.165, 0.061, 0.926)
Cd (0.634, 0.561, 0.896)
Cd (0.439, 0.074, 0.335)
Cd (0.262, 0.396, 0.835)
Cd (0.238, 0.574, 0.634)
Cd (0.939, 0.104, 0.866)
Cd (0.665, 0.238, 0.604)
Cd (0.426, 0.762, 0.866)
Cd (0.074, 0.439, 0.835)
Cd (0.396, 0.262, 0.335)
Cd (0.074, 0.634, 0.738)
Cd (0.665, 0.426, 0.561)
Cd (0.262, 0.866, 0.926)

=====

Material: ZnCdHg2
Method: DFT, PBE-GGA
State: relaxed

Computed properties:
ΔE to the lowest computed polymorph   9 kJ/mol of formula units
Density of states at the Fermi level   0.31 states/eV per atom

abc: 4.093 3.567 6.749
angles: 66.26 90.00 90.00
Sites, in units of the cell vectors:
Zn (0.500, 0.250, 0.250)
Hg (0.000, 0.035, 0.011)
Hg (0.000, 0.465, 0.489)
Cd (0.500, 0.750, 0.750)

=====

Material: ZnCd2Hg
Method: DFT, PBE-GGA
State: relaxed

Computed properties:
ΔE to the lowest computed polymorph   10 kJ/mol of formula units
Density of states at the Fermi level   0.45 states/eV per atom

abc: 4.431 4.388 4.388
angles: 90.00 90.00 90.00
Sites, in units of the cell vectors:
Zn (0.500, 0.000, 0.500)
Hg (0.500, 0.500, 0.000)
Cd (0.000, 0.000, 0.000)
Cd (0.000, 0.500, 0.500)

=====

Material: Zn2CdHg
Method: DFT, PBE-GGA
State: relaxed

Computed properties:
ΔE to the lowest computed polymorph   32 kJ/mol of formula units
Density of states at the Fermi level   0.19 states/eV per atom

abc: 3.686 3.686 7.657
angles: 76.07 76.07 60.00
Sites, in units of the cell vectors:
Zn (0.082, 0.082, 0.753)
Zn (0.251, 0.251, 0.247)
Cd (0.500, 0.500, 0.501)
Hg (0.667, 0.667, 0.999)

=====

Material: ZnCd6Hg5
Method: DFT, PBE-GGA
State: relaxed

Computed properties:
Density of states at the Fermi level   0.22 states/eV per atom

abc: 3.406 10.287 8.823
angles: 114.35 97.30 89.31
Sites, in units of the cell vectors:
Zn (0.000, 0.000, 0.000)
Hg (0.903, 0.231, 0.664)
Hg (0.100, 0.258, 0.315)
Hg (0.000, 0.500, 0.000)
Hg (0.900, 0.742, 0.685)
Hg (0.097, 0.769, 0.336)
Cd (0.610, 0.518, 0.336)
Cd (0.588, 0.013, 0.321)
Cd (0.505, 0.757, 0.998)
Cd (0.495, 0.243, 0.002)
Cd (0.412, 0.987, 0.679)
Cd (0.390, 0.482, 0.664)

=====

Material: Zn2CdHg
Method: DFT, PBE-GGA
State: relaxed

Computed properties:
ΔE to the lowest computed polymorph   30 kJ/mol of formula units
Density of states at the Fermi level   0.36 states/eV per atom

abc: 4.833 4.833 4.833
angles: 60.00 60.00 60.00
Sites, in units of the cell vectors:
Zn (0.250, 0.250, 0.250)
Zn (0.750, 0.750, 0.750)
Hg (0.500, 0.500, 0.500)
Cd (0.000, 0.000, 0.000)

=====

Material: ZnCdHg2
Method: DFT, PBE-GGA
State: relaxed

Computed properties:
ΔE to the lowest computed polymorph   4 kJ/mol of formula units
Density of states at the Fermi level   0.24 states/eV per atom

abc: 5.092 5.092 5.015
angles: 82.11 82.11 44.44
Sites, in units of the cell vectors:
Zn (0.500, 0.500, 0.496)
Hg (0.003, 0.003, 0.985)
Hg (0.250, 0.250, 0.273)
Cd (0.748, 0.748, 0.746)

=====

Material: ZnCd8Hg2
Method: DFT, PBE-GGA
State: relaxed

Computed properties:
Density of states at the Fermi level   0.22 states/eV per atom

abc: 4.723 5.734 10.247
angles: 108.58 103.32 90.00
Sites, in units of the cell vectors:
Zn (0.500, 0.000, 0.000)
Cd (0.418, 0.494, 0.836)
Cd (0.649, 0.096, 0.297)
Cd (0.755, 0.665, 0.511)
Cd (0.978, 0.227, 0.956)
Cd (0.245, 0.335, 0.489)
Cd (0.351, 0.904, 0.703)
Cd (0.582, 0.506, 0.164)
Cd (0.022, 0.773, 0.044)
Hg (0.826, 0.227, 0.652)
Hg (0.174, 0.773, 0.348)

=====

Material: ZnCdHg2
Method: DFT, PBE-GGA
State: relaxed

Computed properties:
ΔE to the lowest computed polymorph   5 kJ/mol of formula units
Density of states at the Fermi level   0.48 states/eV per atom

abc: 6.792 6.792 6.792
angles: 151.28 141.07 49.09
Sites, in units of the cell vectors:
Zn (0.505, 0.505, 0.000)
Hg (0.992, 0.992, 0.000)
Hg (0.702, 0.202, 0.500)
Cd (0.301, 0.801, 0.500)

=====

Material: ZnCd2Hg
Method: DFT, PBE-GGA
State: relaxed

Computed properties:
ΔE to the lowest computed polymorph   27 kJ/mol of formula units
Density of states at the Fermi level   0.69 states/eV per atom

abc: 4.971 4.971 4.971
angles: 60.00 60.00 60.00
Sites, in units of the cell vectors:
Cd (0.000, 0.000, 0.000)
Cd (0.750, 0.750, 0.750)
Hg (0.500, 0.500, 0.500)
Zn (0.250, 0.250, 0.250)

=====

Number 1: ΔE_f 0.06 eV per atom. Number 2: ΔE_f 0.17 eV per atom. Number 3: ΔE_f 0.09 eV per atom. Number 4: ΔE_f 0.08 eV per atom. Number 5: ΔE_f 0.16 eV per atom. Number 6: ΔE_f 0.03 eV per atom. Number 7: ΔE_f 0.15 eV per atom. Number 8: ΔE_f 0.07 eV per atom. Number 9: ΔE_f 0.03 eV per atom. Number 10: ΔE_f 0.08 eV per atom. Number 11: ΔE_f 0.12 eV per atom.